TbGe4Pd2 | GGA-PBE | relaxed

The structure in CIF format:
```
data_TbGe4Pd2
_space_group_name_H-M_alt 'P 1'
_space_group_IT_number 1
_space_group_name_Hall 'P 1'
_cell_length_a 17.293
_cell_length_b 4.352
_cell_length_c 6.892
_cell_angle_alpha 90.00
_cell_angle_beta 90.00
_cell_angle_gamma 90.00
loop_
_atom_site_label
_atom_site_type_symbol
_atom_site_fract_x
_atom_site_fract_y
_atom_site_fract_z
Tb1 Tb 0.142 0.250 0.020
Tb2 Tb 0.358 0.750 0.520
Tb3 Tb 0.642 0.250 0.480
Tb4 Tb 0.858 0.750 0.980
Ge1 Ge 0.039 0.750 0.858
Ge2 Ge 0.064 0.250 0.470
Ge3 Ge 0.177 0.750 0.334
Ge4 Ge 0.193 0.750 0.745
Ge5 Ge 0.307 0.250 0.245
Ge6 Ge 0.323 0.250 0.834
Ge7 Ge 0.436 0.750 0.970
Ge8 Ge 0.461 0.250 0.358
Ge9 Ge 0.539 0.750 0.642
Ge10 Ge 0.564 0.250 0.030
Ge11 Ge 0.677 0.750 0.166
Ge12 Ge 0.693 0.750 0.755
Ge13 Ge 0.807 0.250 0.255
Ge14 Ge 0.823 0.250 0.666
Ge15 Ge 0.936 0.750 0.530
Ge16 Ge 0.961 0.250 0.142
Pd1 Pd 0.030 0.750 0.235
Pd2 Pd 0.214 0.250 0.552
Pd3 Pd 0.286 0.750 0.052
Pd4 Pd 0.470 0.250 0.735
Pd5 Pd 0.530 0.750 0.265
Pd6 Pd 0.714 0.250 0.948
Pd7 Pd 0.786 0.750 0.448
Pd8 Pd 0.970 0.250 0.765
```

- Symmetry: Pnma (62)
- N(E_F): 11.317 states/eV per cell
- DFT total energy: -5.301 eV per atom
- E_form: -0.518 eV per atom